The following is a DFT calculation (GGA-PBE) of a relaxed structure of NbSbRh2.

a = 5.650 Å, b = 5.650 Å, c = 7.278 Å
α = 67.16°, β = 67.16°, γ = 90.00°
Atoms (fractional coordinates):
Sb: 0.000 0.000 0.000
Sb: 0.750 0.250 0.500
Nb: 0.500 0.500 0.000
Nb: 0.250 0.750 0.500
Rh: 0.611 0.125 0.250
Rh: 0.139 0.625 0.250
Rh: 0.375 0.389 0.750
Rh: 0.875 0.861 0.750

formation energy without anion corrections: 0.273 eV/atom
SG: I-42d, No. 122
calculated total energy: -6.951 eV per atom

***

The following is a DFT calculation (GGA-PBE) of a relaxed structure of NbSb3Rh.

a = 5.099 Å, b = 5.099 Å, c = 5.099 Å
α = 90.00°, β = 90.00°, γ = 90.00°
Each line ends with the local moment (μB).
Atoms (fractional coordinates):
Sb: 0.000 0.500 0.000  -0.05
Sb: 0.000 0.000 0.500  -0.03
Sb: 0.500 0.000 0.000  -0.02
Nb: 0.500 0.500 0.500  2.27
Rh: 0.000 0.000 0.000  -0.02

formation energy without anion corrections: 0.739 eV/atom
energy above the lowest structure with this stoichiometry: 0.0 meV per atom
SG: Pm-3m, No. 221
calculated total energy: -5.219 eV per atom

***

The following is a DFT calculation (GGA-PBE) of a relaxed structure of NbSb2TeRh.

a = 5.016 Å, b = 5.016 Å, c = 5.368 Å
α = 90.00°, β = 90.00°, γ = 90.00°
Each line ends with the local moment (μB).
Atoms (fractional coordinates):
Sb: 0.000 0.500 0.000  -0.05
Sb: 0.500 0.000 0.000  -0.05
Nb: 0.500 0.500 0.500  2.31
Te: 0.000 0.000 0.500  -0.09
Rh: 0.000 0.000 0.000  -0.04

formation energy without anion corrections: 0.713 eV/atom
energy above the lowest structure with this stoichiometry: 0.0 meV per atom
SG: P4/mmm, No. 123
calculated total energy: -5.048 eV per atom